# PBE-GGA Ac3Pr2Nd, optimized geometry
data_Ac3Pr2Nd
_space_group_name_H-M_alt 'C 1 2/c 1'
_space_group_IT_number 15
_cell_length_a 9.6506
_cell_length_b 10.7995
_cell_length_c 9.5047
_cell_angle_alpha 90.00
_cell_angle_beta 101.52
_cell_angle_gamma 90.00
loop_
_space_group_symop_operation_xyz
'x,y,z'
'-x,-y,-z'
'-x,y,-z+1/2'
'x,-y,z+1/2'
'x+1/2,y+1/2,z'
'-x+1/2,-y+1/2,-z'
'-x+1/2,y+1/2,-z+1/2'
'x+1/2,-y+1/2,z+1/2'
loop_
_atom_site_label
_atom_site_type_symbol
_atom_site_fract_x
_atom_site_fract_y
_atom_site_fract_z
Ac1 Ac 0.0000 0.0586 0.2500
Ac2 Ac 0.2153 0.4181 0.9786
Pr1 Pr 0.1326 0.2489 0.6189
Nd1 Nd 0.0000 0.3808 0.2500
# - relative energy among the computed polymorphs (eV/atom) = 0.0398
# - energy of formation (eV per atom) = 0.09
# - density (g cm⁻³) = 7.58
# - DOS at the Fermi energy (states/eV/f.u.) = 8.34



# PBE-GGA Si2TcNi, optimized geometry
data_Si2TcNi
_space_group_name_H-M_alt 'F -4 3 m'
_space_group_IT_number 216
_space_group_name_Hall 'F -4 2 3'
_cell_length_a 5.9142
_cell_length_b 5.9142
_cell_length_c 5.9142
_cell_angle_alpha 90.00
_cell_angle_beta 90.00
_cell_angle_gamma 90.00
loop_
_atom_site_label
_atom_site_type_symbol
_atom_site_fract_x
_atom_site_fract_y
_atom_site_fract_z
Si1 Si 0.0000 0.0000 0.0000
Si2 Si 0.2500 0.2500 0.2500
Tc1 Tc 0.0000 0.0000 0.5000
Ni1 Ni 0.2500 0.2500 0.7500
# - density (g cm⁻³) = 6.83
# - energy relative to the elements, uncorrected (eV/atom) = 0.141
# - DOS at the Fermi energy (states/eV/f.u.) = 3.59



# PBE-GGA Tm4C2I, optimized geometry
data_Tm4C2I
_space_group_name_H-M_alt 'R -3 m'
_space_group_IT_number 166
_space_group_name_Hall '-R 3 2"'
_cell_length_a 3.6408
_cell_length_b 3.6408
_cell_length_c 40.0860
_cell_angle_alpha 90.00
_cell_angle_beta 90.00
_cell_angle_gamma 120.00
loop_
_atom_site_label
_atom_site_type_symbol
_atom_site_fract_x
_atom_site_fract_y
_atom_site_fract_z
Tm1 Tm 0.0000 0.0000 0.1256
Tm2 Tm 0.0000 0.0000 0.2715
C1 C 0.0000 0.0000 0.4242
I1 I 0.0000 0.0000 0.0000
# - density (g cm⁻³) = 8.95
# - energy relative to the elements, uncorrected (eV/atom) = -0.546
# - DOS at the Fermi energy (states/eV/f.u.) = 4.55



# PBE-GGA In3Pd12Pb5, optimized geometry
data_In3Pd12Pb5
_space_group_name_H-M_alt 'I a -3 d'
_space_group_IT_number 230
_space_group_name_Hall '-I 4bd 2c 3'
_cell_length_a 15.6937
_cell_length_b 15.6937
_cell_length_c 15.6937
_cell_angle_alpha 90.00
_cell_angle_beta 90.00
_cell_angle_gamma 90.00
loop_
_atom_site_label
_atom_site_type_symbol
_atom_site_fract_x
_atom_site_fract_y
_atom_site_fract_z
In1 In 0.0000 0.2500 0.1250
Pd1 Pd 0.0036 0.0766 0.6527
Pb1 Pb 0.0000 0.0000 0.0000
Pb2 Pb 0.0000 0.2500 0.3750
# - energy of formation (eV per atom) = 0.00
# - density (g cm⁻³) = 9.13
# - DOS at the Fermi energy (states/eV/f.u.) = 13.09



# PBE-GGA Sc6InAs2Se3, optimized geometry
data_Sc6InAs2Se3
_space_group_name_H-M_alt 'C 1 2/m 1'
_space_group_IT_number 12
_cell_length_a 17.1533
_cell_length_b 3.8649
_cell_length_c 7.9704
_cell_angle_alpha 90.00
_cell_angle_beta 103.79
_cell_angle_gamma 90.00
loop_
_space_group_symop_operation_xyz
'x,y,z'
'-x,-y,-z'
'-x,y,-z'
'x,-y,z'
'x+1/2,y+1/2,z'
'-x+1/2,-y+1/2,-z'
'-x+1/2,y+1/2,-z'
'x+1/2,-y+1/2,z'
loop_
_atom_site_label
_atom_site_type_symbol
_atom_site_fract_x
_atom_site_fract_y
_atom_site_fract_z
Sc1 Sc 0.0020 0.0000 0.2652
Sc2 Sc 0.1713 0.5000 0.0949
Sc3 Sc 0.1720 0.5000 0.5752
In1 In 0.0000 0.5000 0.0000
As1 As 0.1664 0.0000 0.3334
Se1 Se 0.0000 0.5000 0.5000
Se2 Se 0.1662 0.0000 0.8309
# - density (g cm⁻³) = 4.99
# - energy relative to the elements, uncorrected (eV/atom) = -1.306
# - DOS at the Fermi energy (states/eV/f.u.) = 4.40



# PBE-GGA GdErRe4, optimized geometry
data_GdErRe4
_space_group_name_H-M_alt 'F -4 3 m'
_space_group_IT_number 216
_space_group_name_Hall 'F -4 2 3'
_cell_length_a 7.6700
_cell_length_b 7.6700
_cell_length_c 7.6700
_cell_angle_alpha 90.00
_cell_angle_beta 90.00
_cell_angle_gamma 90.00
loop_
_atom_site_label
_atom_site_type_symbol
_atom_site_fract_x
_atom_site_fract_y
_atom_site_fract_z
Gd1 Gd 0.0000 0.0000 0.0000
Er1 Er 0.2500 0.2500 0.2500
Re1 Re 0.1249 0.1249 0.6249
# - energy of formation (eV per atom) = -0.16
# - density (g cm⁻³) = 15.74
# - DOS at the Fermi energy (states/eV/f.u.) = 7.38



# PBE-GGA Er2BeZn, optimized geometry
data_Er2BeZn
_space_group_name_H-M_alt 'F m -3 m'
_space_group_IT_number 225
_space_group_name_Hall '-F 4 2 3'
_cell_length_a 6.9263
_cell_length_b 6.9263
_cell_length_c 6.9263
_cell_angle_alpha 90.00
_cell_angle_beta 90.00
_cell_angle_gamma 90.00
loop_
_atom_site_label
_atom_site_type_symbol
_atom_site_fract_x
_atom_site_fract_y
_atom_site_fract_z
Er1 Er 0.2500 0.2500 0.2500
Be1 Be 0.0000 0.0000 0.0000
Zn1 Zn 0.0000 0.0000 0.5000
# - relative energy among the computed polymorphs (eV/atom) = 0.0086
# - energy of formation (eV per atom) = -0.12
# - density (g cm⁻³) = 8.17
# - DOS at the Fermi energy (states/eV/f.u.) = 3.58



# PBE-GGA Zr2InCu, optimized geometry
data_Zr2InCu
_space_group_name_H-M_alt 'P 4 m m'
_space_group_IT_number 99
_cell_length_a 3.1710
_cell_length_b 3.1710
_cell_length_c 8.0572
_cell_angle_alpha 90.00
_cell_angle_beta 90.00
_cell_angle_gamma 90.00
loop_
_space_group_symop_operation_xyz
'x,y,z'
'-y,x,z'
'-x,-y,z'
'y,-x,z'
'-x,y,z'
'y,x,z'
'x,-y,z'
'-y,-x,z'
loop_
_atom_site_label
_atom_site_type_symbol
_atom_site_fract_x
_atom_site_fract_y
_atom_site_fract_z
Zr1 Zr 0.0000 0.0000 0.0000
Zr2 Zr 0.5000 0.5000 0.2829
In1 In 0.5000 0.5000 0.7136
Cu1 Cu 0.0000 0.0000 0.5063
# - energy of formation (eV per atom) = -0.14
# - density (g cm⁻³) = 7.40
# - DOS at the Fermi energy (states/eV/f.u.) = 3.32